Entry 1:
DFT (PBE) results for an optimized crystal structure of PrDyGa2Au2.

abc: 4.5690 4.5690 7.3760
angles: 90.00 90.00 120.00
Space group P-3m1 (No. 164)
Inequivalent atoms, fractional coordinates:
Pr 0.0000 0.0000 0.0000 [1 per cell]
Dy 0.0000 0.0000 0.5000 [1 per cell]
Ga 0.3333 0.6667 0.7306 [2 per cell]
Au 0.3333 0.6667 0.2744 [2 per cell]

---

Entry 2:
DFT (PBE) results for an optimized crystal structure of PrDyGaAu.

abc: 7.369 7.369 7.369
angles: 90.00 90.00 90.00
Space group F-43m (No. 216)
Inequivalent atoms, fractional coordinates:
Pr 0.000 0.000 0.000 [4 per cell]
Dy 0.000 0.000 0.500 [4 per cell]
Ga 0.250 0.250 0.250 [4 per cell]
Au 0.250 0.250 0.750 [4 per cell]

Results
polymorph energy (0 for the lowest one)	41	meV/atom

---

Entry 3:
DFT (PBE) results for an optimized crystal structure of PrDyGa2Au5.

abc: 4.733 4.733 8.560
angles: 90.00 90.00 90.00
Space group P4/mmm (No. 123)
Inequivalent atoms, fractional coordinates:
Pr 0.000 0.000 0.000 [1 per cell]
Dy 0.000 0.000 0.500 [1 per cell]
Ga 0.500 0.500 0.356 [2 per cell]
Au 0.000 0.500 0.241 [4 per cell]
Au 0.500 0.500 0.000 [1 per cell]

---

Entry 4:
DFT (PBE) results for an optimized crystal structure of Dy2Ga4PtAu3.

abc: 4.306 4.306 10.677
angles: 90.00 90.00 90.00
Space group P-4m2 (No. 115)
Inequivalent atoms, fractional coordinates:
Dy 0.000 0.500 0.243 [2 per cell]
Ga 0.000 0.000 0.500 [1 per cell]
Ga 0.000 0.500 0.871 [2 per cell]
Ga 0.500 0.500 0.500 [1 per cell]
Pt 0.500 0.500 0.000 [1 per cell]
Au 0.000 0.000 0.000 [1 per cell]
Au 0.000 0.500 0.640 [2 per cell]

---

Entry 5:
DFT (PBE) results for an optimized crystal structure of Dy2Ga4Pt3Au.

abc: 4.193 4.193 10.836
angles: 90.00 90.00 90.00
Space group P-4m2 (No. 115)
Inequivalent atoms, fractional coordinates:
Dy 0.000 0.500 0.242 [2 per cell]
Ga 0.000 0.000 0.000 [1 per cell]
Ga 0.000 0.500 0.638 [2 per cell]
Ga 0.500 0.500 0.000 [1 per cell]
Pt 0.000 0.500 0.864 [2 per cell]
Pt 0.500 0.500 0.500 [1 per cell]
Au 0.000 0.000 0.500 [1 per cell]

---

Entry 6:
DFT (PBE) results for an optimized crystal structure of DyPuGa2Au5.

abc: 4.420 4.420 9.547
angles: 90.00 90.00 90.00
Space group P4/mmm (No. 123)
Inequivalent atoms, fractional coordinates:
Dy 0.000 0.000 0.000 [1 per cell]
Pu 0.000 0.000 0.500 [1 per cell]
Ga 0.500 0.500 0.127 [2 per cell]
Au 0.000 0.500 0.267 [4 per cell]
Au 0.500 0.500 0.500 [1 per cell]

---

Entry 7:
DFT (PBE) results for an optimized crystal structure of Dy2Ga4RhAu3.

abc: 4.155 4.155 11.220
angles: 90.00 90.00 90.00
Space group P-4m2 (No. 115)
Inequivalent atoms, fractional coordinates:
Dy 0.000 0.500 0.243 [2 per cell]
Ga 0.000 0.000 0.500 [1 per cell]
Ga 0.000 0.500 0.869 [2 per cell]
Ga 0.500 0.500 0.500 [1 per cell]
Rh 0.500 0.500 0.000 [1 per cell]
Au 0.000 0.000 0.000 [1 per cell]
Au 0.000 0.500 0.646 [2 per cell]

---

Entry 8:
DFT (PBE) results for an optimized crystal structure of DyGaRhAu.

abc: 6.667 6.667 6.667
angles: 90.00 90.00 90.00
Space group F-43m (No. 216)
Inequivalent atoms, fractional coordinates:
Dy 0.000 0.000 0.000 [4 per cell]
Ga 0.000 0.000 0.500 [4 per cell]
Rh 0.250 0.250 0.250 [4 per cell]
Au 0.250 0.250 0.750 [4 per cell]

---

Ordered calculated total energy results: -4.4414 -4.5573 -4.0489 -4.3743 -5.1335 -4.9910 -4.4906 -5.1676; unit eV per atom.
Ordered calculated formation energy results: -0.7764 -0.6358 -0.5131 -0.6559 -0.8624 -0.3938 -0.6411 -0.6032; unit eV per atom.
Ordered D(E_F) results: 3.7 15.5 5.3 5.7 3.9 18.4 4.1 13.3; unit states/eV per cell.